Crystalline Co2Ni2WO6 at its relaxed geometry, computed with GGA+U.

```
Co2Ni2WO6
1.0
5.102 0.165 -0.385
-2.378 4.517 -0.385
-1.390 -2.389 5.736
Co Ni W O
2 2 1 6
direct
0.807 0.193 0.000 Co
0.193 0.807 0.000 Co
0.338 0.662 0.500 Ni
0.662 0.338 0.500 Ni
0.000 0.000 0.500 W
0.841 0.841 0.729 O
0.139 0.464 0.703 O
0.159 0.159 0.271 O
0.464 0.139 0.703 O
0.861 0.536 0.297 O
0.536 0.861 0.297 O
```

Output
Calculated volume = 11.38 A^3/atom
Uncorrected energy = -5.897 eV/atom
Magnetic moment = 10.00 μB/f.u.